BaDyCo | PBE | relaxed

abc: 7.059 7.059 7.059
angles: 90.00 90.00 90.00
Space group F-43m (No. 216)
Inequivalent atoms, fractional coordinates:
1 Ba 0.000 0.000 0.000 (multiplicity 4)
2 Dy 0.000 0.000 0.500 (multiplicity 4)
3 Co 0.250 0.250 0.250 (multiplicity 4)

## Properties
total magnetic moment	0.000	μB per atom
raw total energy	-49.71	eV per cell
density	6776	kg/m³
ΔE to the lowest computed polymorph	0	meV/atom
V	351.69	Å³ per cell

DyZrFe2Si2C | PBE | relaxed

abc: 10.335 3.812 6.599
angles: 90.00 128.73 90.00
Space group Cm (No. 8)
Inequivalent atoms, fractional coordinates:
1 Dy 0.000 0.000 0.000 (multiplicity 2)
2 Zr 0.123 0.000 0.587 (multiplicity 2)
3 Fe 0.266 0.500 0.389 (multiplicity 2)
4 Fe 0.359 0.000 0.199 (multiplicity 2)
5 Si 0.218 0.500 0.992 (multiplicity 2)
6 Si 0.406 0.000 0.589 (multiplicity 2)
7 C 0.067 0.500 0.309 (multiplicity 2)

## Properties
total magnetic moment	0.001	μB per atom
raw total energy	-109.21	eV per cell
density	7099	kg/m³
V	202.85	Å³ per cell

NaAu | PBE | relaxed

abc: 5.999 5.999 5.999
angles: 90.00 90.00 90.00
Space group Fm-3m (No. 225)
Inequivalent atoms, fractional coordinates:
1 Na 0.000 0.000 0.000 (multiplicity 4)
2 Au 0.000 0.000 0.500 (multiplicity 4)

## Properties
raw total energy	-19.51	eV per cell
density	6767	kg/m³
V	215.90	Å³ per cell

Li4AlTlHg2 | PBE | relaxed

abc: 4.635 4.635 6.701
angles: 90.00 90.00 90.00
Space group P-4m2 (No. 115)
Inequivalent atoms, fractional coordinates:
1 Li 0.000 0.000 0.000 (multiplicity 1)
2 Li 0.000 0.500 0.241 (multiplicity 2)
3 Li 0.500 0.500 0.500 (multiplicity 1)
4 Al 0.500 0.500 0.000 (multiplicity 1)
5 Tl 0.000 0.000 0.500 (multiplicity 1)
6 Hg 0.000 0.500 0.783 (multiplicity 2)

## Properties
raw total energy	-16.49	eV per cell
density	7616	kg/m³
V	143.96	Å³ per cell

Na2PtI6 | PBE | relaxed

abc: 7.580 7.580 11.396
angles: 90.00 90.00 90.00
Space group I4/m (No. 87)
Inequivalent atoms, fractional coordinates:
1 Na 0.000 0.500 0.250 (multiplicity 4)
2 Pt 0.000 0.000 0.000 (multiplicity 2)
3 I 0.000 0.000 0.237 (multiplicity 4)
4 I 0.178 0.311 0.000 (multiplicity 8)

## Properties
total magnetic moment	0.000	μB per atom
raw total energy	-46.38	eV per cell
density	5085	kg/m³
ΔE to the lowest computed polymorph	0	meV/atom
V	654.74	Å³ per cell

UBr2 | PBE | relaxed

abc: 7.550 7.550 3.557
angles: 90.00 90.00 90.00
Space group P4_2/mnm (No. 136)
Inequivalent atoms, fractional coordinates:
1 U 0.000 0.000 0.000 (multiplicity 2)
2 Br 0.223 0.223 0.500 (multiplicity 4)

## Properties
total magnetic moment	1.326	μB per atom
raw total energy	-34.08	eV per cell
density	6517	kg/m³
V	202.73	Å³ per cell